Below is an optimized crystal structure of V2FeO2, with properties calculated at the PBE with a Hubbard U level.

Its total DFT energy (no corrections) is -6.0570 eV/atom.

Lattice parameters (Å, degrees): 6.6056 6.6056 2.8345 90.00 90.00 90.00
With the nearest neighbours (Å) after each atom.
Positions (direct):
V1 0.1473 0.3527 0.0000  6 O 2.38-2.43, 2 Fe 2.52
V2 0.3527 0.8527 0.0000  6 O 2.38-2.43, 2 Fe 2.52
V3 0.6473 0.1473 0.0000  6 O 2.38-2.43, 2 Fe 2.52
V4 0.8527 0.6473 0.0000  6 O 2.38-2.43, 2 Fe 2.52
Fe1 0.0000 0.0000 0.0000  4 V 2.52
Fe2 0.5000 0.5000 0.0000  4 V 2.52
O1 0.1413 0.6413 0.5000  6 V 2.38-2.43, 1 O 2.64
O2 0.3587 0.1413 0.5000  6 V 2.38-2.43, 1 O 2.64
O3 0.6413 0.8587 0.5000  6 V 2.38-2.43, 1 O 2.64
O4 0.8587 0.3587 0.5000  6 V 2.38-2.43, 1 O 2.64